Entry 1
A relaxed Mg2NbV crystal, computed with GGA-PBE.

Geometry as CIF:
```
data_Mg2NbV
_chemical_formula_sum 'Mg2 Nb1 V1'
_symmetry_space_group_name_H-M 'P 1'
_symmetry_Int_Tables_number 1
_cell_length_a 4.712
_cell_length_b 4.712
_cell_length_c 4.712
_cell_angle_alpha 60.00
_cell_angle_beta 60.00
_cell_angle_gamma 60.00
loop_
_symmetry_equiv_pos_as_xyz
'x,y,z'
loop_
_atom_site_label
_atom_site_type_symbol
_atom_site_fract_x
_atom_site_fract_y
_atom_site_fract_z
Mg1 Mg 0.250 0.250 0.250
Mg2 Mg 0.750 0.750 0.750
Nb1 Nb 0.000 0.000 0.000
V1 V 0.500 0.500 0.500
```

- SG: Fm-3m (225)
- Theoretical density: 4.32 g/cm³

---

Entry 2
A relaxed Mg2NbV crystal, computed with GGA-PBE.

Geometry as CIF:
```
data_Mg2NbV
_chemical_formula_sum 'Mg4 Nb2 V2'
_symmetry_space_group_name_H-M 'P 1'
_symmetry_Int_Tables_number 1
_cell_length_a 5.982
_cell_length_b 5.982
_cell_length_c 5.982
_cell_angle_alpha 101.40
_cell_angle_beta 101.40
_cell_angle_gamma 127.20
loop_
_symmetry_equiv_pos_as_xyz
'x,y,z'
loop_
_atom_site_label
_atom_site_type_symbol
_atom_site_fract_x
_atom_site_fract_y
_atom_site_fract_z
Mg1 Mg 0.110 0.625 0.985
Mg2 Mg 0.375 0.360 0.485
Mg3 Mg 0.640 0.125 0.015
Mg4 Mg 0.875 0.890 0.515
Nb1 Nb 0.250 0.750 0.500
Nb2 Nb 0.500 0.500 0.000
V1 V 0.000 0.000 0.000
V2 V 0.750 0.250 0.500
```

- SG: I-42d (122)
- Theoretical density: 4.18 g/cm³

---

Of them, the most stable is entry 1 and the least stable is entry 2.

---

Entry 1
A relaxed MgNb2W2 crystal, computed with GGA-PBE.

Geometry as CIF:
```
data_MgNb2W2
_chemical_formula_sum 'Mg1 Nb2 W2'
_symmetry_space_group_name_H-M 'P 1'
_symmetry_Int_Tables_number 1
_cell_length_a 6.348
_cell_length_b 6.348
_cell_length_c 6.348
_cell_angle_alpha 140.26
_cell_angle_beta 140.26
_cell_angle_gamma 57.46
loop_
_symmetry_equiv_pos_as_xyz
'x,y,z'
loop_
_atom_site_label
_atom_site_type_symbol
_atom_site_fract_x
_atom_site_fract_y
_atom_site_fract_z
Mg1 Mg 0.000 0.000 0.000
Nb1 Nb 0.250 0.750 0.500
Nb2 Nb 0.750 0.250 0.500
W1 W 0.388 0.388 0.000
W2 W 0.612 0.612 0.000
```

- SG: I4/mmm (139)
- Theoretical density: 9.26 g/cm³

---

Entry 2
A relaxed MgNb2W2 crystal, computed with GGA-PBE.

Geometry as CIF:
```
data_MgNb2W2
_chemical_formula_sum 'Mg2 Nb4 W4'
_symmetry_space_group_name_H-M 'P 1'
_symmetry_Int_Tables_number 1
_cell_length_a 7.743
_cell_length_b 7.743
_cell_length_c 3.165
_cell_angle_alpha 90.00
_cell_angle_beta 90.00
_cell_angle_gamma 90.00
loop_
_symmetry_equiv_pos_as_xyz
'x,y,z'
loop_
_atom_site_label
_atom_site_type_symbol
_atom_site_fract_x
_atom_site_fract_y
_atom_site_fract_z
Mg1 Mg 0.000 0.000 0.000
Mg2 Mg 0.500 0.500 0.000
Nb1 Nb 0.195 0.305 0.500
Nb2 Nb 0.305 0.805 0.500
Nb3 Nb 0.695 0.195 0.500
Nb4 Nb 0.805 0.695 0.500
W1 W 0.109 0.609 0.000
W2 W 0.391 0.109 0.000
W3 W 0.609 0.891 0.000
W4 W 0.891 0.391 0.000
```

- SG: P4/mbm (127)
- Theoretical density: 10.11 g/cm³

---

Of them, the most stable is entry 2 and the least stable is entry 1.

---

Entry 1
A relaxed Mg2NbW crystal, computed with GGA-PBE.

Geometry as CIF:
```
data_Mg2NbW
_chemical_formula_sum 'Mg2 Nb1 W1'
_symmetry_space_group_name_H-M 'P 1'
_symmetry_Int_Tables_number 1
_cell_length_a 4.651
_cell_length_b 4.651
_cell_length_c 4.651
_cell_angle_alpha 60.00
_cell_angle_beta 60.00
_cell_angle_gamma 60.00
loop_
_symmetry_equiv_pos_as_xyz
'x,y,z'
loop_
_atom_site_label
_atom_site_type_symbol
_atom_site_fract_x
_atom_site_fract_y
_atom_site_fract_z
Mg1 Mg 0.250 0.250 0.250
Mg2 Mg 0.750 0.750 0.750
Nb1 Nb 0.000 0.000 0.000
W1 W 0.500 0.500 0.500
```

- SG: Fm-3m (225)
- Theoretical density: 7.60 g/cm³

---

Entry 2
A relaxed Mg2NbW crystal, computed with GGA-PBE.

Geometry as CIF:
```
data_Mg2NbW
_chemical_formula_sum 'Mg4 Nb2 W2'
_symmetry_space_group_name_H-M 'P 1'
_symmetry_Int_Tables_number 1
_cell_length_a 5.998
_cell_length_b 5.998
_cell_length_c 5.998
_cell_angle_alpha 101.36
_cell_angle_beta 101.36
_cell_angle_gamma 127.30
loop_
_symmetry_equiv_pos_as_xyz
'x,y,z'
loop_
_atom_site_label
_atom_site_type_symbol
_atom_site_fract_x
_atom_site_fract_y
_atom_site_fract_z
Mg1 Mg 0.117 0.625 0.992
Mg2 Mg 0.375 0.367 0.492
Mg3 Mg 0.633 0.125 0.008
Mg4 Mg 0.875 0.883 0.508
Nb1 Nb 0.250 0.750 0.500
Nb2 Nb 0.500 0.500 0.000
W1 W 0.000 0.000 0.000
W2 W 0.750 0.250 0.500
```

- SG: I-42d (122)
- Theoretical density: 7.02 g/cm³

---

Of them, the most stable is entry 1 and the least stable is entry 2.

---

Entry 1
A relaxed Mg14NbW crystal, computed with GGA-PBE.

Geometry as CIF:
```
data_Mg14NbW
_chemical_formula_sum 'Mg14 Nb1 W1'
_symmetry_space_group_name_H-M 'P 1'
_symmetry_Int_Tables_number 1
_cell_length_a 6.259
_cell_length_b 6.259
_cell_length_c 9.907
_cell_angle_alpha 90.00
_cell_angle_beta 90.00
_cell_angle_gamma 120.00
loop_
_symmetry_equiv_pos_as_xyz
'x,y,z'
loop_
_atom_site_label
_atom_site_type_symbol
_atom_site_fract_x
_atom_site_fract_y
_atom_site_fract_z
Mg1 Mg 0.000 0.000 0.244
Mg2 Mg 0.000 0.000 0.756
Mg3 Mg 0.019 0.510 0.254
Mg4 Mg 0.019 0.510 0.746
Mg5 Mg 0.333 0.167 0.500
Mg6 Mg 0.339 0.170 0.000
Mg7 Mg 0.490 0.510 0.254
Mg8 Mg 0.490 0.510 0.746
Mg9 Mg 0.490 0.981 0.254
Mg10 Mg 0.490 0.981 0.746
Mg11 Mg 0.830 0.170 0.000
Mg12 Mg 0.830 0.661 0.000
Mg13 Mg 0.833 0.167 0.500
Mg14 Mg 0.833 0.667 0.500
Nb1 Nb 0.333 0.667 0.000
W1 W 0.333 0.667 0.500
```

- SG: P-6m2 (187)
- Theoretical density: 3.05 g/cm³

---

Entry 2
A relaxed Mg14NbW crystal, computed with GGA-PBE.

Geometry as CIF:
```
data_Mg14NbW
_chemical_formula_sum 'Mg14 Nb1 W1'
_symmetry_space_group_name_H-M 'P 1'
_symmetry_Int_Tables_number 1
_cell_length_a 10.098
_cell_length_b 6.284
_cell_length_c 6.284
_cell_angle_alpha 57.67
_cell_angle_beta 90.00
_cell_angle_gamma 90.00
loop_
_symmetry_equiv_pos_as_xyz
'x,y,z'
loop_
_atom_site_label
_atom_site_type_symbol
_atom_site_fract_x
_atom_site_fract_y
_atom_site_fract_z
Mg1 Mg 0.000 0.000 0.000
Mg2 Mg 0.000 0.002 0.500
Mg3 Mg 0.000 0.499 0.499
Mg4 Mg 0.000 0.500 0.002
Mg5 Mg 0.254 0.658 0.658
Mg6 Mg 0.262 0.156 0.156
Mg7 Mg 0.264 0.165 0.670
Mg8 Mg 0.264 0.670 0.165
Mg9 Mg 0.500 0.002 0.506
Mg10 Mg 0.500 0.506 0.002
Mg11 Mg 0.736 0.165 0.670
Mg12 Mg 0.736 0.670 0.165
Mg13 Mg 0.738 0.156 0.156
Mg14 Mg 0.746 0.658 0.658
Nb1 Nb 0.500 0.505 0.505
W1 W 0.500 0.004 0.004
```

- SG: Amm2 (38)
- Theoretical density: 3.04 g/cm³

---

Of them, the most stable is entry 2 and the least stable is entry 1.

---

Entry 1
A relaxed MgNbW3 crystal, computed with GGA-PBE.

Geometry as CIF:
```
data_MgNbW3
_chemical_formula_sum 'Mg1 Nb1 W3'
_symmetry_space_group_name_H-M 'P 1'
_symmetry_Int_Tables_number 1
_cell_length_a 4.551
_cell_length_b 4.551
_cell_length_c 4.551
_cell_angle_alpha 90.00
_cell_angle_beta 90.00
_cell_angle_gamma 90.00
loop_
_symmetry_equiv_pos_as_xyz
'x,y,z'
loop_
_atom_site_label
_atom_site_type_symbol
_atom_site_fract_x
_atom_site_fract_y
_atom_site_fract_z
Mg1 Mg 0.000 0.000 0.000
Nb1 Nb 0.500 0.500 0.500
W1 W 0.000 0.000 0.500
W2 W 0.000 0.500 0.000
W3 W 0.500 0.000 0.000
```

- SG: Pm-3m (221)
- Theoretical density: 11.78 g/cm³

---

Entry 2
A relaxed MgNbW3 crystal, computed with GGA-PBE.

Geometry as CIF:
```
data_MgNbW3
_chemical_formula_sum 'Mg1 Nb1 W3'
_symmetry_space_group_name_H-M 'P 1'
_symmetry_Int_Tables_number 1
_cell_length_a 4.809
_cell_length_b 4.809
_cell_length_c 4.809
_cell_angle_alpha 90.00
_cell_angle_beta 90.00
_cell_angle_gamma 90.00
loop_
_symmetry_equiv_pos_as_xyz
'x,y,z'
loop_
_atom_site_label
_atom_site_type_symbol
_atom_site_fract_x
_atom_site_fract_y
_atom_site_fract_z
Mg1 Mg 0.000 0.000 0.000
Nb1 Nb 0.500 0.500 0.500
W1 W 0.000 0.500 0.500
W2 W 0.500 0.000 0.500
W3 W 0.500 0.500 0.000
```

- SG: Pm-3m (221)
- Theoretical density: 9.98 g/cm³

---

Of them, the most stable is entry 2 and the least stable is entry 1.

---

Entry 1
A relaxed YMgNb3 crystal, computed with GGA-PBE.

Geometry as CIF:
```
data_YMgNb3
_chemical_formula_sum 'Y1 Mg1 Nb3'
_symmetry_space_group_name_H-M 'P 1'
_symmetry_Int_Tables_number 1
_cell_length_a 4.993
_cell_length_b 4.993
_cell_length_c 4.993
_cell_angle_alpha 90.00
_cell_angle_beta 90.00
_cell_angle_gamma 90.00
loop_
_symmetry_equiv_pos_as_xyz
'x,y,z'
loop_
_atom_site_label
_atom_site_type_symbol
_atom_site_fract_x
_atom_site_fract_y
_atom_site_fract_z
Y1 Y 0.000 0.000 0.000
Mg1 Mg 0.500 0.500 0.500
Nb1 Nb 0.000 0.000 0.500
Nb2 Nb 0.000 0.500 0.000
Nb3 Nb 0.500 0.000 0.000
```

- SG: Pm-3m (221)
- Theoretical density: 5.23 g/cm³

---

Entry 2
A relaxed YMgNb3 crystal, computed with GGA-PBE.

Geometry as CIF:
```
data_YMgNb3
_chemical_formula_sum 'Y1 Mg1 Nb3'
_symmetry_space_group_name_H-M 'P 1'
_symmetry_Int_Tables_number 1
_cell_length_a 4.902
_cell_length_b 4.902
_cell_length_c 4.902
_cell_angle_alpha 90.00
_cell_angle_beta 90.00
_cell_angle_gamma 90.00
loop_
_symmetry_equiv_pos_as_xyz
'x,y,z'
loop_
_atom_site_label
_atom_site_type_symbol
_atom_site_fract_x
_atom_site_fract_y
_atom_site_fract_z
Y1 Y 0.000 0.000 0.000
Mg1 Mg 0.500 0.500 0.500
Nb1 Nb 0.000 0.500 0.500
Nb2 Nb 0.500 0.000 0.500
Nb3 Nb 0.500 0.500 0.000
```

- SG: Pm-3m (221)
- Theoretical density: 5.53 g/cm³

---

Of them, the most stable is entry 2 and the least stable is entry 1.